Zr2CuOsO: relaxed, PBE.

The structure in CIF format:
```
data_Zr2CuOsO
_cell_length_a 4.875
_cell_length_b 4.875
_cell_length_c 4.356
_cell_angle_alpha 90.00
_cell_angle_beta 90.00
_cell_angle_gamma 90.00
_symmetry_space_group_name_H-M 'P 4/m m m'
_symmetry_Int_Tables_number 123
_symmetry_space_group_name_Hall '-P 4 2'
loop_
_atom_site_label
_atom_site_fract_x
_atom_site_fract_y
_atom_site_fract_z
Zr1 0.000 0.500 0.000
Cu1 0.000 0.000 0.000
Os1 0.000 0.000 0.500
O1 0.500 0.500 0.500
```

Total magnetic moment   0.00 μB/cell
DOS at the Fermi energy   1.587 states/eV/atom
E_tot   -6.34 eV per atom
ΔE_f (raw)   1.13 eV/atom